Here is GdTmSn after structural relaxation from the Alexandria database. Energies are from PBE.

a = 5.122 Å, b = 5.122 Å, c = 5.122 Å
α = 60.00°, β = 60.00°, γ = 60.00°
Each line ends with the local moment (μB).
Fractional positions:
Gd 0.500 0.500 0.500  7.28
Tm 0.000 0.000 0.000  0.29
Sn 0.250 0.250 0.250  -0.05

Calculated values
- Crystal system: cubic
- Space-group type: F-43m
- N(E_F): 4.45 states/eV/f.u.
- Energy relative to the lowest polymorph listed for this composition: 0.000 eV/atom
- Formation energy from the elements: -111 kJ/mol of formula units


Here is Ba2UAgTe5 after structural relaxation from the Alexandria database. Energies are from PBE.

a = 4.609 Å, b = 10.374 Å, c = 13.997 Å
α = 90.00°, β = 90.00°, γ = 102.84°
Each line ends with the local moment (μB).
Fractional positions:
Ba 0.882 0.764 0.822  0.00
Ba 0.115 0.230 0.696  -0.01
Ba 0.118 0.236 0.322  0.00
Ba 0.885 0.770 0.196  -0.01
U 0.800 0.601 0.517  1.69
U 0.200 0.399 0.017  1.69
Ag 0.570 0.139 0.935  -0.02
Ag 0.430 0.861 0.435  -0.02
Te 0.348 0.695 0.010  -0.06
Te 0.703 0.406 0.870  -0.06
Te 0.499 0.998 0.765  -0.02
Te 0.295 0.589 0.661  -0.07
Te 0.945 0.889 0.547  -0.08
Te 0.652 0.305 0.510  -0.06
Te 0.297 0.594 0.370  -0.06
Te 0.501 0.002 0.265  -0.02
Te 0.705 0.411 0.161  -0.07
Te 0.055 0.111 0.047  -0.08

Calculated values
- Crystal system: orthorhombic
- Space-group type: Cmc2_1
- N(E_F): 7.31 states/eV/f.u.
- Formation energy from raw total energies: -893 kJ/mol of formula units


Here is ErUSb after structural relaxation from the Alexandria database. Energies are from PBE.

a = 5.923 Å, b = 5.923 Å, c = 16.965 Å
α = 90.00°, β = 90.00°, γ = 120.00°
Each line ends with the local moment (μB).
Fractional positions:
Sb 0.500 0.000 0.667  -0.03
Sb 0.000 0.000 0.500  -0.05
Sb 0.000 0.000 0.833  -0.05
Sb 0.000 0.000 0.167  -0.05
Sb 0.500 0.500 0.000  -0.03
Sb 0.000 0.500 0.333  -0.03
U 0.380 0.760 0.167  1.90
U 0.760 0.380 0.833  1.90
U 0.620 0.380 0.500  1.90
U 0.620 0.240 0.167  1.90
U 0.380 0.620 0.500  1.90
U 0.240 0.620 0.833  1.90
Er 0.500 0.500 0.312  0.16
Er 0.000 0.500 0.645  0.16
Er 0.500 0.500 0.688  0.16
Er 0.000 0.500 0.022  0.16
Er 0.500 0.000 0.978  0.16
Er 0.500 0.000 0.355  0.16

Calculated values
- Crystal system: hexagonal
- Space-group type: P6_222
- N(E_F): 5.73 states/eV/f.u.
- Formation energy from raw total energies: 37 kJ/mol of formula units


Here is La3Pm5Ho3 after structural relaxation from the Alexandria database. Energies are from PBE.

a = 3.454 Å, b = 11.443 Å, c = 11.443 Å
α = 120.00°, β = 90.00°, γ = 90.00°
Fractional positions:
La 0.000 0.599 0.000
La 0.000 0.000 0.599
La 0.000 0.401 0.401
Pm 0.500 0.667 0.333
Pm 0.500 0.333 0.667
Pm 0.500 0.336 0.000
Pm 0.500 0.664 0.664
Pm 0.500 0.000 0.336
Ho 0.500 0.842 0.000
Ho 0.500 0.158 0.158
Ho 0.500 0.000 0.842

Calculated values
- Crystal system: hexagonal
- Space-group type: P-62m
- N(E_F): 19.79 states/eV/f.u.
- Formation energy from the elements: 344 kJ/mol of formula units


Here is LiTcP2S after structural relaxation from the Alexandria database. Energies are from PBE.

a = 4.498 Å, b = 4.498 Å, c = 5.231 Å
α = 90.00°, β = 90.00°, γ = 90.00°
Fractional positions:
P 0.000 0.500 0.000
P 0.500 0.000 0.000
S 0.000 0.000 0.500
Tc 0.000 0.000 0.000
Li 0.500 0.500 0.500

Calculated values
- Crystal system: tetragonal
- Space-group type: P4/mmm
- N(E_F): 5.20 states/eV/f.u.
- Energy relative to the lowest polymorph listed for this composition: 0.000 eV/atom
- Formation energy from raw total energies: 87 kJ/mol of formula units


Here is Nd2Cu2Ir after structural relaxation from the Alexandria database. Energies are from PBE.

a = 4.150 Å, b = 5.686 Å, c = 10.267 Å
α = 86.86°, β = 78.34°, γ = 68.60°
Fractional positions:
Nd 0.695 0.254 0.357
Nd 0.915 0.289 0.881
Nd 0.305 0.746 0.643
Nd 0.085 0.711 0.119
Cu 0.052 0.322 0.574
Cu 0.621 0.868 0.891
Cu 0.948 0.678 0.426
Cu 0.379 0.132 0.109
Ir 0.583 0.149 0.686
Ir 0.417 0.851 0.314

Calculated values
- Crystal system: monoclinic
- Space-group type: C2/m
- N(E_F): 3.91 states/eV/f.u.
- Formation energy from the elements: -170 kJ/mol of formula units


Here is BaMoCl2 after structural relaxation from the Alexandria database. Energies are from PBE.

a = 4.622 Å, b = 4.829 Å, c = 6.585 Å
α = 65.14°, β = 90.00°, γ = 90.00°
Each line ends with the local moment (μB).
Fractional positions:
Mo 0.000 0.505 0.426  3.87
Ba 0.500 0.755 0.771  0.15
Cl 0.000 0.946 0.011  0.06
Cl 0.500 0.293 0.292  0.09

Calculated values
- Crystal system: monoclinic
- Space-group type: Pm
- N(E_F): 1.05 states/eV/f.u.
- Energy relative to the lowest polymorph listed for this composition: 0.177 eV/atom
- Formation energy from raw total energies: -139 kJ/mol of formula units


Here is Cu4Si after structural relaxation from the Alexandria database. Energies are from PBE.

a = 4.955 Å, b = 4.955 Å, c = 5.254 Å
α = 90.00°, β = 90.00°, γ = 90.00°
Fractional positions:
Cu 0.125 0.262 0.348
Cu 0.875 0.738 0.348
Cu 0.262 0.875 0.652
Cu 0.738 0.125 0.652
Cu 0.375 0.762 0.152
Cu 0.625 0.238 0.152
Cu 0.238 0.375 0.848
Cu 0.762 0.625 0.848
Si 0.000 0.000 0.000
Si 0.500 0.500 0.500

Calculated values
- Crystal system: tetragonal
- Space-group type: P-42_1c
- N(E_F): 1.32 states/eV/f.u.
- Energy relative to the lowest polymorph listed for this composition: 0.089 eV/atom
- Formation energy from raw total energies: 17 kJ/mol of formula units


no.,total magnetization (μB per cell)
1,7.95
2,2.49
3,12.94
4,0.00
5,0.00
6,0.00
7,5.81
8,0.00